DFT (PBE with a Hubbard U) results for an optimized crystal structure of PmCo2PtO8.

abc: 5.8419 5.8419 5.8419
angles: 108.44 108.44 111.55
Atoms (fractional coordinates):
1 Pm 0.0000 0.0000 0.0000
2 O 0.9457 0.6092 0.6635
3 O 0.3067 0.1066 0.8000
4 O 0.8934 0.6933 0.2000
5 O 0.9457 0.2823 0.3365
6 O 0.4933 0.6933 0.8000
7 O 0.7177 0.0543 0.6635
8 O 0.3908 0.0543 0.3365
9 O 0.3067 0.5067 0.2000
10 Co 0.7500 0.2500 0.5000
11 Co 0.5000 0.5000 0.0000
12 Pt 0.2500 0.7500 0.5000

Computed properties:
Fermi-level density of states   4.0 states/eV/cell
Symmetry   No. 119
Total energy   -5.91 eV/atom